No. 1
A geometry-optimized Pa2Te3Br structure, computed with PBE.

POSCAR file:
```
Pa2Te3Br
1.0
8.0604 0.5579 0.4348
3.1335 7.4473 0.4348
3.1335 2.2409 7.1154
Pa Te Br
4 6 2
Direct
0.3543 0.3543 0.3543
0.1457 0.1457 0.1457
0.8543 0.8543 0.8543
0.6457 0.6457 0.6457
0.4681 0.0319 0.7500
0.0319 0.7500 0.4681
0.7500 0.4681 0.0319
0.5319 0.9681 0.2500
0.9681 0.2500 0.5319
0.2500 0.5319 0.9681
0.5000 0.5000 0.5000
0.0000 0.0000 0.0000
```

Values from the calculation:
- Formation energy without anion corrections: -4.354 eV per formula unit
- Density of states at the Fermi level: 1.909 states/eV/atom
- Symmetry: R-3c

---

No. 2
A geometry-optimized PaTe3Br structure, computed with PBE.

POSCAR file:
```
PaTe3Br
1.0
-5.6673 -4.1557 1.2535
6.8430 -2.4039 3.3220
-5.3995 3.0137 6.0290
Pa Te Br
2 6 2
Direct
0.1827 0.2883 0.9212
0.8173 0.7117 0.0788
0.9646 0.4101 0.7543
0.5584 0.2640 0.0091
0.0524 0.1162 0.2299
0.0354 0.5899 0.2457
0.9476 0.8838 0.7701
0.4416 0.7360 0.9909
0.5239 0.7126 0.4003
0.4761 0.2874 0.5997
```

Values from the calculation:
- Formation energy without anion corrections: -3.756 eV per formula unit
- Symmetry: P-1

---

No. 3
A geometry-optimized Pa2Te4Br structure, computed with PBE.

POSCAR file:
```
Pa2Te4Br
1.0
9.3985 -0.3297 -0.1720
-1.0057 9.3530 0.1717
-4.0749 -4.6246 6.1637
Pa Te Br
4 8 2
Direct
0.6249 0.3748 0.7500
0.6251 0.8751 0.2502
0.6251 0.3752 0.2501
0.1249 0.3749 0.7498
0.8407 0.1594 0.2594
0.4089 0.5903 0.2401
0.8998 0.5811 0.7404
0.8404 0.1596 0.7405
0.4192 0.1000 0.2595
0.3500 0.1687 0.7597
0.4099 0.5906 0.7599
0.8310 0.6502 0.2403
0.2482 0.7482 0.5004
0.0018 0.0018 0.9997
```

Values from the calculation:
- Formation energy without anion corrections: -4.210 eV per formula unit
- Density of states at the Fermi level: 0.652 states/eV/atom
- Symmetry: C2/c

---

No. 4
A geometry-optimized PaTeBr2 structure, computed with PBE.

POSCAR file:
```
PaTeBr2
1.0
3.8270 -0.0002 0.0000
-1.9135 5.6566 0.0000
0.0000 0.0000 14.1466
Pa Te Br
2 2 4
Direct
0.8008 0.6004 0.7500
0.1992 0.3996 0.2500
0.9076 0.8166 0.2500
0.0924 0.1834 0.7500
0.3667 0.7322 0.6044
0.6333 0.2678 0.3956
0.3667 0.7322 0.8956
0.6333 0.2678 0.1044
```

Values from the calculation:
- Formation energy without anion corrections: -4.526 eV per formula unit
- Density of states at the Fermi level: 0.280 states/eV/atom
- Polymorph energy (0 for the lowest one): 0 meV/atom
- Symmetry: P2_1/m

---

No. 5
A geometry-optimized PaTe2Br structure, computed with PBE.

POSCAR file:
```
PaTe2Br
1.0
-0.7490 -3.6304 2.2479
6.5491 0.8621 3.5743
-6.3890 4.6826 5.4337
Pa Te Br
2 4 2
Direct
0.4223 0.2499 0.9998
0.9223 0.7501 0.0002
0.4223 0.6442 0.1872
0.4222 0.8556 0.8130
0.9222 0.1444 0.1870
0.9223 0.3558 0.8128
0.9233 0.2504 0.4998
0.4233 0.7496 0.5002
```

Values from the calculation:
- Formation energy without anion corrections: -2.358 eV per formula unit
- Density of states at the Fermi level: 0.129 states/eV/atom
- Polymorph energy (0 for the lowest one): 161 meV/atom
- Symmetry: P2_1/m

---

No. 6
A geometry-optimized PaTe2Br structure, computed with PBE.

POSCAR file:
```
PaTe2Br
1.0
4.5099 0.0000 0.0000
2.2550 3.9057 0.0000
2.2550 1.3019 8.0888
Pa Te Br
1 2 1
Direct
0.0000 0.0000 0.0000
0.2684 0.2684 0.1947
0.7316 0.7316 0.8053
0.5000 0.5000 0.5000
```

Values from the calculation:
- Formation energy without anion corrections: -2.169 eV per formula unit
- Polymorph energy (0 for the lowest one): 209 meV/atom
- Symmetry: R-3m

---

No. 7
A geometry-optimized PaTe2Br5 structure, computed with PBE.

POSCAR file:
```
PaTe2Br5
1.0
5.0289 0.0141 2.5827
2.5032 8.5274 1.2683
-1.3847 -0.0084 8.8644
Pa Te Br
1 2 5
Direct
0.9637 0.0000 0.0000
0.7329 0.5002 0.4997
0.2085 0.4999 0.5003
0.8071 0.0006 0.3135
0.1206 0.6866 0.9991
0.8065 0.3134 0.0009
0.1202 0.9994 0.6865
0.4636 0.0000 0.0000
```

Values from the calculation:
- Formation energy without anion corrections: -7.110 eV per formula unit
- Density of states at the Fermi level: 0.714 states/eV/atom
- Symmetry: Cm

---

No. 8
A geometry-optimized PaTe2Br2 structure, computed with PBE.

POSCAR file:
```
PaTe2Br2
1.0
7.1733 0.0000 -0.0757
3.5867 6.8763 -0.0378
2.9727 0.0000 6.9065
Pa Te Br
2 4 4
Direct
0.1398 0.7203 0.0000
0.8602 0.2797 0.0000
0.8760 0.0000 0.3576
0.6289 0.0000 0.1290
0.3711 0.0000 0.8710
0.1240 0.0000 0.6424
0.5664 0.4330 0.7618
0.4336 0.5670 0.2382
0.9995 0.5670 0.7618
0.0005 0.4330 0.2382
```

Values from the calculation:
- Formation energy without anion corrections: -5.090 eV per formula unit
- Density of states at the Fermi level: 0.419 states/eV/atom
- Symmetry: C2/m

---

Number 1: energy -5.741 eV/atom. Number 2: energy -4.870 eV/atom. Number 3: energy -5.349 eV/atom. Number 4: energy -5.127 eV/atom. Number 5: energy -4.953 eV/atom. Number 6: energy -4.905 eV/atom. Number 7: energy -3.907 eV/atom. Number 8: energy -4.843 eV/atom.